CeHo3Th3 (PBE, optimized geometry); calculated formation energy = 330 meV per atom
1.0
4.354 2.514 7.157
-4.354 2.514 7.157
0.000 -5.027 7.157
Ce Ho Th
2 6 6
direct
0.140 0.140 0.140 Ce
0.860 0.860 0.860 Ce
0.066 0.242 0.555 Ho
0.242 0.555 0.066 Ho
0.445 0.934 0.758 Ho
0.555 0.066 0.242 Ho
0.758 0.445 0.934 Ho
0.934 0.758 0.445 Ho
0.207 0.427 0.705 Th
0.295 0.793 0.573 Th
0.427 0.705 0.207 Th
0.573 0.295 0.793 Th
0.705 0.207 0.427 Th
0.793 0.573 0.295 Th